Entry from Alexandria: an optimized crystal structure of MgRePt2 (PBE).

Calculated values
Energy, eV for the cell shown: -27.48

Cell lengths 4.8228, 4.8228, 2.7790 Å; angles 90.00, 90.00, 108.23 degrees
Closest atoms and distances in Å follow each position.
Fractional coordinates of all 4 atoms:
Mg (0.0000, 0.5000, 0.5000)  2 Mg 2.78, 8 Pt 2.78, 2 Re 2.83
Pt (0.0000, 0.0000, 0.0000)  4 Pt 2.78-2.83, 4 Mg 2.78, 4 Re 2.78
Pt (0.5000, 0.5000, 0.0000)  4 Pt 2.78-2.83, 4 Re 2.78, 4 Mg 2.78
Re (0.5000, 0.0000, 0.5000)  2 Re 2.78, 8 Pt 2.78, 2 Mg 2.83

---

Entry from Alexandria: an optimized crystal structure of MgRe3Pt (PBE).

Calculated values
Energy, eV for the cell shown: -33.99

Cell lengths 4.7796, 4.7796, 4.7796 Å; angles 90.00, 90.00, 90.00 degrees
Closest atoms and distances in Å follow each position.
Fractional coordinates of all 5 atoms:
Re (0.0000, 0.5000, 0.0000)  2 Pt 2.39
Re (0.0000, 0.0000, 0.5000)  2 Pt 2.39
Re (0.5000, 0.0000, 0.0000)  2 Pt 2.39
Mg (0.5000, 0.5000, 0.5000)  12 Re 3.38
Pt (0.0000, 0.0000, 0.0000)  6 Re 2.39

---

Entry from Alexandria: an optimized crystal structure of MgRePt2 (PBE).

Calculated values
Energy, eV for the cell shown: -27.01

Cell lengths 9.1506, 9.1506, 9.1506 Å; angles 17.76, 17.76, 17.76 degrees
Closest atoms and distances in Å follow each position.
Fractional coordinates of all 4 atoms:
Mg (0.7500, 0.7500, 0.7500)  6 Pt 2.79, 6 Mg 2.82
Pt (0.9996, 0.9996, 0.9996)  3 Re 2.77, 3 Mg 2.79, 6 Pt 2.82
Pt (0.5004, 0.5004, 0.5004)  3 Re 2.77, 3 Mg 2.79, 6 Pt 2.82
Re (0.2500, 0.2500, 0.2500)  6 Pt 2.77, 6 Re 2.82

---

Entry from Alexandria: an optimized crystal structure of MgRePt (PBE).

Calculated values
Energy, eV for the cell shown: -20.11

Cell lengths 2.8172, 2.8172, 6.9012 Å; angles 90.00, 90.00, 120.00 degrees
Closest atoms and distances in Å follow each position.
Fractional coordinates of all 3 atoms:
Mg (0.0000, 0.0000, 0.0058)  3 Pt 2.80, 6 Mg 2.82, 3 Re 2.90
Pt (0.6667, 0.3333, 0.3357)  3 Re 2.76, 3 Mg 2.80, 6 Pt 2.82
Re (0.3333, 0.6667, 0.6585)  3 Pt 2.76, 6 Re 2.82, 3 Mg 2.90

---

Entry from Alexandria: an optimized crystal structure of Mg2RePt (PBE).

Calculated values
Energy, eV for the cell shown: -21.94

Cell lengths 5.3007, 5.3007, 2.7288 Å; angles 78.27, 78.27, 115.34 degrees
Closest atoms and distances in Å follow each position.
Fractional coordinates of all 4 atoms:
Mg (0.0000, 0.0000, 0.0000)  2 Pt 2.72, 2 Re 2.72, 4 Mg 2.73-2.83
Mg (0.5000, 0.5000, 0.0000)  2 Re 2.72, 2 Pt 2.72, 4 Mg 2.73-2.83
Pt (0.5000, 0.0000, 0.5000)  4 Mg 2.72, 2 Pt 2.73, 2 Re 2.83
Re (0.0000, 0.5000, 0.5000)  4 Mg 2.72, 2 Re 2.73, 2 Pt 2.83

---

Entry from Alexandria: an optimized crystal structure of MgRePt2 (PBE).

Calculated values
Energy, eV for the cell shown: -26.86

Cell lengths 2.7683, 4.0753, 5.6079 Å; angles 90.00, 90.00, 90.00 degrees
Closest atoms and distances in Å follow each position.
Fractional coordinates of all 4 atoms:
Mg (0.5000, 0.5000, 0.7756)  6 Pt 2.70-2.86, 2 Mg 2.77, 4 Re 3.01
Pt (0.0000, 0.0000, 0.9711)  4 Mg 2.70, 2 Pt 2.77, 2 Re 2.79-2.82
Pt (0.5000, 0.5000, 0.2848)  4 Re 2.67, 2 Mg 2.75-2.86, 2 Pt 2.77
Re (0.0000, 0.0000, 0.4685)  6 Pt 2.67-2.82, 2 Re 2.77

---

Entry from Alexandria: an optimized crystal structure of MgRePt2 (PBE).

Calculated values
Energy, eV for the cell shown: -25.87

Cell lengths 4.4465, 4.4465, 4.4465 Å; angles 60.00, 60.00, 60.00 degrees
Closest atoms and distances in Å follow each position.
Fractional coordinates of all 4 atoms:
Mg (0.5000, 0.5000, 0.5000)  4 Pt 2.72, 4 Re 2.72
Pt (0.0000, 0.0000, 0.0000)  4 Re 2.72, 4 Pt 2.72
Pt (0.2500, 0.2500, 0.2500)  4 Pt 2.72, 4 Mg 2.72
Re (0.7500, 0.7500, 0.7500)  4 Mg 2.72, 4 Pt 2.72

---

Entry from Alexandria: an optimized crystal structure of Mg2RePt (PBE).

Calculated values
Energy, eV for the cell shown: -39.39

Cell lengths 7.3199, 7.3199, 5.8210 Å; angles 51.04, 51.04, 90.00 degrees
Closest atoms and distances in Å follow each position.
Fractional coordinates of all 8 atoms:
Re (0.5000, 0.5000, 0.0000)  2 Pt 2.66, 4 Mg 2.77
Re (0.2500, 0.7500, 0.5000)  2 Pt 2.66, 4 Mg 2.77
Mg (0.6449, 0.1250, 0.2500)  2 Pt 2.57, 2 Mg 2.68, 2 Re 2.77
Mg (0.1051, 0.6250, 0.2500)  2 Pt 2.57, 2 Mg 2.68, 2 Re 2.77
Mg (0.3750, 0.3551, 0.7500)  2 Pt 2.57, 2 Mg 2.68, 2 Re 2.77
Mg (0.8750, 0.8949, 0.7500)  2 Pt 2.57, 2 Mg 2.68, 2 Re 2.77
Pt (0.0000, 0.0000, 0.0000)  4 Mg 2.57, 2 Re 2.66
Pt (0.7500, 0.2500, 0.5000)  4 Mg 2.57, 2 Re 2.66